(1)
## NpMn2Ga2P (PBE)

Data for an optimized crystal structure of NpMn2Ga2P.

Computed properties:
E_tot (eV/atom): -7.313
ΔE_f (meV per atom): -189

a b c (Å): 4.200 4.200 5.538
angles (deg): 90.00 90.00 90.00
Space group P4/mmm (No. 123)
Symmetry-distinct sites (fractional):
Np 0.000 0.000 0.000 (multiplicity 1)
Mn 0.000 0.500 0.500 (multiplicity 2)
Ga 0.500 0.500 0.229 (multiplicity 2)
P 0.000 0.000 0.500 (multiplicity 1)



(2)
## Np2MnGa4Pt3 (PBE)

Data for an optimized crystal structure of Np2MnGa4Pt3.

Computed properties:
E_tot (eV/atom): -6.981
ΔE_f (meV per atom): -453

a b c (Å): 4.037 4.037 11.390
angles (deg): 90.00 90.00 90.00
Space group P-4m2 (No. 115)
Symmetry-distinct sites (fractional):
Np 0.000 0.500 0.249 (multiplicity 2)
Mn 0.500 0.500 0.000 (multiplicity 1)
Ga 0.000 0.000 0.500 (multiplicity 1)
Ga 0.000 0.500 0.865 (multiplicity 2)
Ga 0.500 0.500 0.500 (multiplicity 1)
Pt 0.000 0.000 0.000 (multiplicity 1)
Pt 0.000 0.500 0.645 (multiplicity 2)



(3)
## NpMnGa2Pt4 (PBE)

Data for an optimized crystal structure of NpMnGa2Pt4.

Computed properties:
E_tot (eV/atom): -7.081
ΔE_f (meV per atom): -540

a b c (Å): 4.3313 4.3313 25.3261
angles (deg): 90.00 90.00 120.00
Space group R-3m (No. 166, hexagonal axes)
Symmetry-distinct sites (fractional):
Np 0.0000 0.0000 0.0000 (multiplicity 3)
Mn 0.0000 0.0000 0.5000 (multiplicity 3)
Ga 0.0000 0.0000 0.2412 (multiplicity 6)
Pt 0.0000 0.0000 0.1321 (multiplicity 6)
Pt 0.0000 0.0000 0.3961 (multiplicity 6)



(4)
## NpMnGaRu (PBE)

Data for an optimized crystal structure of NpMnGaRu.

Computed properties:
E_tot (eV/atom): -8.731
ΔE_f (meV per atom): -128

a b c (Å): 6.364 6.364 6.364
angles (deg): 90.00 90.00 90.00
Space group F-43m (No. 216)
Symmetry-distinct sites (fractional):
Np 0.000 0.000 0.000 (multiplicity 4)
Mn 0.250 0.250 0.250 (multiplicity 4)
Ga 0.000 0.000 0.500 (multiplicity 4)
Ru 0.250 0.250 0.750 (multiplicity 4)



(5)
## NpMnGaTc (PBE)

Data for an optimized crystal structure of NpMnGaTc.

Computed properties:
E_tot (eV/atom): -8.881
ΔE_f (meV per atom): -5

a b c (Å): 6.361 6.361 6.361
angles (deg): 90.00 90.00 90.00
Space group F-43m (No. 216)
Symmetry-distinct sites (fractional):
Np 0.000 0.000 0.000 (multiplicity 4)
Mn 0.250 0.250 0.250 (multiplicity 4)
Ga 0.000 0.000 0.500 (multiplicity 4)
Tc 0.250 0.250 0.750 (multiplicity 4)